An optimized crystal structure of Tm2CdInPd4, computed with PBE-GGA.

formation enthalpy at 0 K = -0.7993 eV/atom
spin magnetization = 0.0 μB per formula unit

abc: 4.7455 4.7455 23.4468
angles: 90.00 90.00 120.00
Last column: nearest neighbours and their distance in Å.
Space group R-3m (No. 166, hexagonal axes)
Symmetry-distinct sites (fractional):
Tm 0.0000 0.0000 0.2487  8 Pd 2.89-2.93
Cd 0.0000 0.0000 0.5000  8 Pd 2.92-2.96
In 0.0000 0.0000 0.0000  8 Pd 2.90
Pd 0.0000 0.0000 0.1238  4 Tm 2.89-2.93, 1 In 2.90, 3 Cd 2.92
Pd 0.0000 0.0000 0.3736  3 In 2.90, 4 Tm 2.93, 1 Cd 2.96